Entry 1:
{"formula": "FeNi2AgPd", "functional": "GGA-PBE", "state": "optimized geometry", "lattice": [[4.534, 0.000, 0.000], [0.000, 4.968, 0.000], [0.000, 0.000, 4.534]], "species": ["Ni", "Ni", "Pd", "Ag", "Fe"], "fractional_positions": [[0.000, 0.000, 0.500], [0.500, 0.000, 0.000], [0.000, 0.000, 0.000], [0.000, 0.500, 0.000], [0.500, 0.500, 0.500]], "crystal_system": "tetragonal", "magnetic_moment_mub_per_cell": 5.40, "dft_energy_ev_per_atom": -4.1734}

Entry 2:
{"formula": "FeNi2AgRh", "functional": "GGA-PBE", "state": "optimized geometry", "lattice": [[-0.813, 0.748, -4.165], [-4.346, -0.708, 0.721], [-0.540, 4.188, 0.858]], "species": ["Ni", "Ni", "Rh", "Fe", "Ag"], "fractional_positions": [[0.000, 0.000, 0.500], [0.500, 0.000, 0.000], [0.000, 0.500, 0.000], [0.000, 0.000, 0.000], [0.500, 0.500, 0.500]], "crystal_system": "tetragonal", "magnetic_moment_mub_per_cell": 4.30, "dft_energy_ev_per_atom": -5.1117}

Entry 3:
{"formula": "TaFeNi2Ag", "functional": "GGA-PBE", "state": "optimized geometry", "lattice": [[-3.511, -2.328, 1.232], [-1.189, -0.420, -4.181], [2.347, -3.697, -0.297]], "species": ["Ni", "Ni", "Fe", "Ag", "Ta"], "fractional_positions": [[0.000, 0.000, 0.500], [0.500, 0.000, 0.000], [0.000, 0.000, 0.000], [0.500, 0.500, 0.500], [0.000, 0.500, 0.000]], "crystal_system": "tetragonal", "magnetic_moment_mub_per_cell": 2.18, "dft_energy_ev_per_atom": -5.9941}

Entry 4:
{"formula": "NpFe4Ag", "functional": "GGA-PBE", "state": "optimized geometry", "lattice": [[5.007, 0.000, 0.000], [2.504, 4.336, 0.000], [2.504, 1.445, 4.088]], "species": ["Np", "Fe", "Fe", "Fe", "Fe", "Ag"], "fractional_positions": [[0.000, 0.000, 0.000], [0.625, 0.625, 0.124], [0.625, 0.124, 0.625], [0.625, 0.625, 0.625], [0.124, 0.625, 0.625], [0.250, 0.250, 0.250]], "crystal_system": "cubic", "magnetic_moment_mub_per_cell": 11.31, "dft_energy_ev_per_atom": -7.9038}